No. 1
Here is a crystal of BeCdOs2 relaxed with PBEsol from Alexandria via LeMat-Bulk. Energies are from meta-GGA SCAN.

```
8
Lattice="2.882 0.000 0.000 0.000 4.521 0.000 0.000 0.000 8.527" Properties=species:S:1:pos:R:3 pbc="T T T"
Be 0.000 0.000 0.000
Be 1.441 2.261 0.000
Cd 0.000 0.000 4.263
Cd 1.441 2.261 4.263
Os 0.000 2.261 1.813
Os 0.000 2.261 6.714
Os 1.441 0.000 1.813
Os 1.441 0.000 6.714
```

Calculated values
Its polymorph energy (0 for the lowest one) is 113 meV/atom.

***

No. 2
Here is a crystal of BeCdOs2 relaxed with PBEsol from Alexandria via LeMat-Bulk. Energies are from meta-GGA SCAN.

```
16
Lattice="6.046 0.000 0.000 0.000 6.046 0.000 0.000 0.000 6.046" Properties=species:S:1:pos:R:3 pbc="T T T"
Be 0.000 0.000 0.000
Be 0.000 3.023 3.023
Be 3.023 0.000 3.023
Be 3.023 3.023 0.000
Cd 0.000 0.000 3.023
Cd 0.000 3.023 0.000
Cd 3.023 0.000 0.000
Cd 3.023 3.023 3.023
Os 1.512 1.512 1.512
Os 1.512 1.512 4.535
Os 1.512 4.535 1.512
Os 1.512 4.535 4.535
Os 4.535 1.512 1.512
Os 4.535 1.512 4.535
Os 4.535 4.535 1.512
Os 4.535 4.535 4.535
```

Calculated values
Its polymorph energy (0 for the lowest one) is 547 meV/atom.

***

| no. | magnetization (μB per formula unit) |
| --- | --- |
| 1 | 0.0 |
| 2 | 0.0 |